[1]
TbHo2Ag6 after structural relaxation, computed with PBE.

Summary:
- symmetry = C2/c (15)
- calculated formation energy (eV per atom) = -0.210

Structure (CIF):
```
data_TbHo2Ag6
_chemical_formula_sum 'Tb2 Ho4 Ag12'
_cell_length_a 5.2991
_cell_length_b 8.8800
_cell_length_c 8.8800
_cell_angle_alpha 75.71
_cell_angle_beta 81.65
_cell_angle_gamma 81.65
_symmetry_space_group_name_H-M 'P 1'
_symmetry_Int_Tables_number 1
loop_
_symmetry_equiv_pos_as_xyz
'x,y,z'
loop_
_atom_site_label
_atom_site_type_symbol
_atom_site_fract_x
_atom_site_fract_y
_atom_site_fract_z
Tb1 Tb 0.2500 0.1254 0.8746
Tb2 Tb 0.7500 0.8746 0.1254
Ho1 Ho 0.4158 0.5419 0.7916
Ho2 Ho 0.0842 0.2084 0.4581
Ho3 Ho 0.5842 0.4581 0.2084
Ho4 Ho 0.9158 0.7916 0.5419
Ag1 Ag 0.4725 0.6790 0.4321
Ag2 Ag 0.0275 0.5679 0.3210
Ag3 Ag 0.5275 0.3210 0.5679
Ag4 Ag 0.9725 0.4321 0.6790
Ag5 Ag 0.6408 0.0984 0.3487
Ag6 Ag 0.8592 0.6513 0.9016
Ag7 Ag 0.3592 0.9016 0.6513
Ag8 Ag 0.1408 0.3487 0.0984
Ag9 Ag 0.3067 0.7618 0.0145
Ag10 Ag 0.1933 0.9855 0.2382
Ag11 Ag 0.6933 0.2382 0.9855
Ag12 Ag 0.8067 0.0145 0.7618
```

[2]
NdGdO2 after structural relaxation, computed with PBE.

Summary:
- symmetry = R-3m (166)
- E_form (uncorrected) (kJ/mol of formula units) = -1078

Structure (CIF):
```
data_NdGdO2
_chemical_formula_sum 'Nd1 Gd1 O2'
_cell_length_a 3.5001
_cell_length_b 3.5001
_cell_length_c 6.2054
_cell_angle_alpha 73.62
_cell_angle_beta 73.62
_cell_angle_gamma 60.00
_symmetry_space_group_name_H-M 'P 1'
_symmetry_Int_Tables_number 1
loop_
_symmetry_equiv_pos_as_xyz
'x,y,z'
loop_
_atom_site_label
_atom_site_type_symbol
_atom_site_fract_x
_atom_site_fract_y
_atom_site_fract_z
Gd1 Gd 0.5000 0.5000 0.5000
Nd1 Nd 0.0000 0.0000 0.0000
O1 O 0.2394 0.2394 0.2817
O2 O 0.7606 0.7606 0.7183
```

[3]
Ba2Rh2F after structural relaxation, computed with PBE.

Summary:
- E above lowest polymorph (meV/atom) = 33
- symmetry = P4/mbm (127)
- E_form (uncorrected) (kJ/mol of formula units) = -236

Structure (CIF):
```
data_Ba2Rh2F
_chemical_formula_sum 'Ba4 Rh4 F2'
_cell_length_a 8.1078
_cell_length_b 8.1078
_cell_length_c 4.0124
_cell_angle_alpha 90.00
_cell_angle_beta 90.00
_cell_angle_gamma 90.00
_symmetry_space_group_name_H-M 'P 1'
_symmetry_Int_Tables_number 1
loop_
_symmetry_equiv_pos_as_xyz
'x,y,z'
loop_
_atom_site_label
_atom_site_type_symbol
_atom_site_fract_x
_atom_site_fract_y
_atom_site_fract_z
Rh1 Rh 0.3928 0.8928 0.0000
Rh2 Rh 0.8928 0.6072 0.0000
Rh3 Rh 0.6072 0.1072 0.0000
Rh4 Rh 0.1072 0.3928 0.0000
Ba1 Ba 0.1948 0.6948 0.5000
Ba2 Ba 0.6948 0.8052 0.5000
Ba3 Ba 0.8052 0.3052 0.5000
Ba4 Ba 0.3052 0.1948 0.5000
F1 F 0.0000 0.0000 0.0000
F2 F 0.5000 0.5000 0.0000
```

[4]
RbLa2Ag2 after structural relaxation, computed with PBE.

Summary:
- E above lowest polymorph (meV/atom) = 64
- symmetry = I4/mmm (139)
- calculated formation energy (eV per atom) = 0.101

Structure (CIF):
```
data_RbLa2Ag2
_chemical_formula_sum 'Rb1 La2 Ag2'
_cell_length_a 5.1753
_cell_length_b 5.1753
_cell_length_c 7.6364
_cell_angle_alpha 70.19
_cell_angle_beta 70.19
_cell_angle_gamma 90.00
_symmetry_space_group_name_H-M 'P 1'
_symmetry_Int_Tables_number 1
loop_
_symmetry_equiv_pos_as_xyz
'x,y,z'
loop_
_atom_site_label
_atom_site_type_symbol
_atom_site_fract_x
_atom_site_fract_y
_atom_site_fract_z
Rb1 Rb 0.0000 0.0000 0.0000
Ag1 Ag 0.3936 0.3936 0.2129
Ag2 Ag 0.6064 0.6064 0.7871
La1 La 0.7500 0.2500 0.5000
La2 La 0.2500 0.7500 0.5000
```

[5]
SnRh2I after structural relaxation, computed with PBE.

Summary:
- E above lowest polymorph (meV/atom) = 12
- symmetry = Fm-3m (225)
- E_form (uncorrected) (kJ/mol of formula units) = 95

Structure (CIF):
```
data_SnRh2I
_chemical_formula_sum 'Sn1 Rh2 I1'
_cell_length_a 4.7382
_cell_length_b 4.7382
_cell_length_c 4.7382
_cell_angle_alpha 60.00
_cell_angle_beta 60.00
_cell_angle_gamma 60.00
_symmetry_space_group_name_H-M 'P 1'
_symmetry_Int_Tables_number 1
loop_
_symmetry_equiv_pos_as_xyz
'x,y,z'
loop_
_atom_site_label
_atom_site_type_symbol
_atom_site_fract_x
_atom_site_fract_y
_atom_site_fract_z
I1 I 0.5000 0.5000 0.5000
Rh1 Rh 0.2500 0.2500 0.2500
Rh2 Rh 0.7500 0.7500 0.7500
Sn1 Sn 0.0000 0.0000 0.0000
```

[6]
Li2Si after structural relaxation, computed with PBE.

Summary:
- symmetry = P-62m (189)
- E_form (uncorrected) (kJ/mol of formula units) = -47

Structure (CIF):
```
data_Li2Si
_chemical_formula_sum 'Li6 Si3'
_cell_length_a 7.5454
_cell_length_b 7.5454
_cell_length_c 2.6676
_cell_angle_alpha 90.00
_cell_angle_beta 90.00
_cell_angle_gamma 120.00
_symmetry_space_group_name_H-M 'P 1'
_symmetry_Int_Tables_number 1
loop_
_symmetry_equiv_pos_as_xyz
'x,y,z'
loop_
_atom_site_label
_atom_site_type_symbol
_atom_site_fract_x
_atom_site_fract_y
_atom_site_fract_z
Li1 Li 0.3018 0.0000 0.0000
Li2 Li 0.0000 0.3018 0.0000
Li3 Li 0.6982 0.6982 0.0000
Li4 Li 0.6366 0.0000 0.5000
Li5 Li 0.0000 0.6366 0.5000
Li6 Li 0.3634 0.3634 0.5000
Si1 Si 0.3333 0.6667 0.0000
Si2 Si 0.6667 0.3333 0.0000
Si3 Si 0.0000 0.0000 0.5000
```

[7]
BaIrF after structural relaxation, computed with PBE.

Summary:
- E above lowest polymorph (meV/atom) = 330
- symmetry = P4/nmm (129)
- E_form (uncorrected) (kJ/mol of formula units) = -460

Structure (CIF):
```
data_BaIrF
_chemical_formula_sum 'Ba2 Ir2 F2'
_cell_length_a 3.7808
_cell_length_b 3.7808
_cell_length_c 9.1164
_cell_angle_alpha 90.00
_cell_angle_beta 90.00
_cell_angle_gamma 90.00
_symmetry_space_group_name_H-M 'P 1'
_symmetry_Int_Tables_number 1
loop_
_symmetry_equiv_pos_as_xyz
'x,y,z'
loop_
_atom_site_label
_atom_site_type_symbol
_atom_site_fract_x
_atom_site_fract_y
_atom_site_fract_z
Ir1 Ir 0.0000 0.5000 0.0276
Ir2 Ir 0.5000 0.0000 0.9724
Ba1 Ba 0.0000 0.5000 0.6947
Ba2 Ba 0.5000 0.0000 0.3053
F1 F 0.0000 0.0000 0.5000
F2 F 0.5000 0.5000 0.5000
```

[8]
ReCl after structural relaxation, computed with PBE.

Summary:
- E above lowest polymorph (meV/atom) = 1642
- symmetry = P6_3/mmc (194)
- E_form (uncorrected) (kJ/mol of formula units) = 295

Structure (CIF):
```
data_ReCl
_chemical_formula_sum 'Re4 Cl4'
_cell_length_a 4.6275
_cell_length_b 4.6275
_cell_length_c 7.3803
_cell_angle_alpha 90.00
_cell_angle_beta 90.00
_cell_angle_gamma 120.00
_symmetry_space_group_name_H-M 'P 1'
_symmetry_Int_Tables_number 1
loop_
_symmetry_equiv_pos_as_xyz
'x,y,z'
loop_
_atom_site_label
_atom_site_type_symbol
_atom_site_fract_x
_atom_site_fract_y
_atom_site_fract_z
Re1 Re 0.3333 0.6667 0.0728
Re2 Re 0.6667 0.3333 0.5728
Re3 Re 0.6667 0.3333 0.9272
Re4 Re 0.3333 0.6667 0.4272
Cl1 Cl 0.0000 0.0000 0.2500
Cl2 Cl 0.0000 0.0000 0.7500
Cl3 Cl 0.3333 0.6667 0.7500
Cl4 Cl 0.6667 0.3333 0.2500
```

[9]
CdMo2Au after structural relaxation, computed with PBE.

Summary:
- symmetry = Pm (6)
- calculated formation energy (eV per atom) = 0.255

Structure (CIF):
```
data_CdMo2Au
_chemical_formula_sum 'Cd1 Mo2 Au1'
_cell_length_a 4.1750
_cell_length_b 2.8228
_cell_length_c 6.4212
_cell_angle_alpha 67.93
_cell_angle_beta 90.00
_cell_angle_gamma 90.00
_symmetry_space_group_name_H-M 'P 1'
_symmetry_Int_Tables_number 1
loop_
_symmetry_equiv_pos_as_xyz
'x,y,z'
loop_
_atom_site_label
_atom_site_type_symbol
_atom_site_fract_x
_atom_site_fract_y
_atom_site_fract_z
Au1 Au 0.0000 0.4801 0.4983
Cd1 Cd 0.5000 0.7788 0.7478
Mo1 Mo 0.0000 0.0553 0.0237
Mo2 Mo 0.5000 0.1858 0.2302
```

[10]
PmThZnSn after structural relaxation, computed with PBE.

Summary:
- symmetry = F-43m (216)
- calculated formation energy (eV per atom) = -0.369

Structure (CIF):
```
data_PmThZnSn
_chemical_formula_sum 'Pm1 Th1 Zn1 Sn1'
_cell_length_a 5.3478
_cell_length_b 5.3478
_cell_length_c 5.3478
_cell_angle_alpha 60.00
_cell_angle_beta 60.00
_cell_angle_gamma 60.00
_symmetry_space_group_name_H-M 'P 1'
_symmetry_Int_Tables_number 1
loop_
_symmetry_equiv_pos_as_xyz
'x,y,z'
loop_
_atom_site_label
_atom_site_type_symbol
_atom_site_fract_x
_atom_site_fract_y
_atom_site_fract_z
Zn1 Zn 0.0000 0.0000 0.0000
Sn1 Sn 0.5000 0.5000 0.5000
Th1 Th 0.7500 0.7500 0.7500
Pm1 Pm 0.2500 0.2500 0.2500
```

[11]
Mg2Rh3 after structural relaxation, computed with PBE.

Summary:
- E above lowest polymorph (meV/atom) = 357
- symmetry = P-3m1 (164)
- calculated formation energy (eV per atom) = 0.087

Structure (CIF):
```
data_Mg2Rh3
_chemical_formula_sum 'Mg2 Rh3'
_cell_length_a 4.2286
_cell_length_b 4.2286
_cell_length_c 5.2909
_cell_angle_alpha 90.00
_cell_angle_beta 90.00
_cell_angle_gamma 120.00
_symmetry_space_group_name_H-M 'P 1'
_symmetry_Int_Tables_number 1
loop_
_symmetry_equiv_pos_as_xyz
'x,y,z'
loop_
_atom_site_label
_atom_site_type_symbol
_atom_site_fract_x
_atom_site_fract_y
_atom_site_fract_z
Mg1 Mg 0.6667 0.3333 0.1596
Mg2 Mg 0.3333 0.6667 0.8404
Rh1 Rh 0.0000 0.0000 0.0000
Rh2 Rh 0.6667 0.3333 0.6406
Rh3 Rh 0.3333 0.6667 0.3594
```

[12]
LaZrFe2 after structural relaxation, computed with PBE.

Summary:
- symmetry = I-42d (122)
- calculated formation energy (eV per atom) = 0.539

Structure (CIF):
```
data_LaZrFe2
_chemical_formula_sum 'La2 Zr2 Fe4'
_cell_length_a 7.1310
_cell_length_b 7.1310
_cell_length_c 5.8714
_cell_angle_alpha 52.61
_cell_angle_beta 52.61
_cell_angle_gamma 90.00
_symmetry_space_group_name_H-M 'P 1'
_symmetry_Int_Tables_number 1
loop_
_symmetry_equiv_pos_as_xyz
'x,y,z'
loop_
_atom_site_label
_atom_site_type_symbol
_atom_site_fract_x
_atom_site_fract_y
_atom_site_fract_z
Fe1 Fe 0.6156 0.1250 0.2500
Fe2 Fe 0.1344 0.6250 0.2500
Fe3 Fe 0.3750 0.3844 0.7500
Fe4 Fe 0.8750 0.8656 0.7500
Zr1 Zr 0.5000 0.5000 0.0000
Zr2 Zr 0.2500 0.7500 0.5000
La1 La 0.0000 0.0000 0.0000
La2 La 0.7500 0.2500 0.5000
```

[13]
DySiN2 after structural relaxation, computed with PBE.

Summary:
- symmetry = R-3m (166)
- E_form (uncorrected) (kJ/mol of formula units) = -309

Structure (CIF):
```
data_DySiN2
_chemical_formula_sum 'Dy1 Si1 N2'
_cell_length_a 3.6120
_cell_length_b 3.6120
_cell_length_c 6.0143
_cell_angle_alpha 72.52
_cell_angle_beta 72.52
_cell_angle_gamma 60.00
_symmetry_space_group_name_H-M 'P 1'
_symmetry_Int_Tables_number 1
loop_
_symmetry_equiv_pos_as_xyz
'x,y,z'
loop_
_atom_site_label
_atom_site_type_symbol
_atom_site_fract_x
_atom_site_fract_y
_atom_site_fract_z
Si1 Si 0.0000 0.0000 0.0000
N1 N 0.0977 0.0977 0.7069
N2 N 0.9023 0.9023 0.2931
Dy1 Dy 0.5000 0.5000 0.5000
```

| no. | M_tot (μB per cell) |
| --- | --- |
| 1 | 0.00 |
| 2 | 6.84 |
| 3 | 2.00 |
| 4 | 0.00 |
| 5 | 0.00 |
| 6 | 0.00 |
| 7 | 0.00 |
| 8 | 0.00 |
| 9 | 0.00 |
| 10 | 0.00 |
| 11 | 0.00 |
| 12 | 2.96 |
| 13 | 0.00 |